(1)
A plane-wave DFT calculation with PBE was carried out for an optimized crystal structure of Ba4CaPb3O12.

a = 7.592 Å, b = 7.592 Å, c = 7.592 Å
α = 109.47°, β = 109.47°, γ = 109.47°
Each line ends with the local moment (μB).
Fractional positions:
Ba 0.500 0.500 0.500  -0.01
Ba 0.000 0.000 0.500  -0.01
Ba 0.500 0.000 0.000  -0.01
Ba 0.000 0.500 0.000  -0.01
Ca 0.000 0.000 0.000  0.00
Pb 0.500 0.000 0.500  -0.01
Pb 0.500 0.500 0.000  -0.01
Pb 0.000 0.500 0.500  -0.01
O 0.250 0.500 0.750  0.13
O 0.741 0.000 0.741  0.17
O 0.259 0.000 0.259  0.17
O 0.750 0.500 0.250  0.13
O 0.741 0.741 0.000  0.17
O 0.259 0.259 0.000  0.17
O 0.750 0.250 0.500  0.13
O 0.250 0.750 0.500  0.13
O 0.500 0.250 0.750  0.13
O 0.000 0.741 0.741  0.17
O 0.500 0.750 0.250  0.13
O 0.000 0.259 0.259  0.17

Space group ... Im-3m, No. 229
E ... -5.77 eV per atom
Crystal system ... cubic

=====

(2)
A plane-wave DFT calculation with PBE was carried out for an optimized crystal structure of BaCa2PdO.

a = 4.639 Å, b = 4.639 Å, c = 5.800 Å
α = 90.00°, β = 90.00°, γ = 90.00°
Fractional positions:
O 0.000 0.000 0.000
Ca 0.000 0.500 0.000
Ca 0.500 0.000 0.000
Ba 0.000 0.000 0.500
Pd 0.500 0.500 0.500

Space group ... P4/mmm, No. 123
E ... -4.51 eV per atom
Crystal system ... tetragonal

=====

(3)
A plane-wave DFT calculation with PBE was carried out for an optimized crystal structure of BaCa2PdO5.

a = 3.961 Å, b = 5.852 Å, c = 6.644 Å
α = 116.13°, β = 107.34°, γ = 90.00°
Fractional positions:
Ba 0.000 0.500 0.000
Ca 0.211 0.211 0.422
Ca 0.789 0.789 0.578
Pd 0.500 0.000 0.000
O 0.636 0.900 0.272
O 0.364 0.100 0.728
O 0.364 0.628 0.728
O 0.636 0.372 0.272
O 0.000 0.000 0.000

Space group ... Immm, No. 71
E ... -6.05 eV per atom
Crystal system ... orthorhombic

=====

(4)
A plane-wave DFT calculation with PBE was carried out for an optimized crystal structure of BaCa2PdO4.

a = 3.535 Å, b = 6.319 Å, c = 11.958 Å
α = 90.00°, β = 90.00°, γ = 106.24°
Each line ends with the local moment (μB).
Fractional positions:
Ba 0.120 0.241 0.750  -0.01
Ba 0.880 0.759 0.250  -0.01
Ca 0.372 0.744 0.543  0.01
Ca 0.628 0.256 0.043  0.01
Ca 0.628 0.256 0.457  0.01
Ca 0.372 0.744 0.957  0.01
Pd 0.856 0.712 0.750  0.63
Pd 0.144 0.288 0.250  0.63
O 0.263 0.526 0.114  0.15
O 0.737 0.474 0.614  0.15
O 0.737 0.474 0.886  0.15
O 0.263 0.526 0.386  0.15
O 0.000 0.000 0.500  0.05
O 0.000 0.000 0.000  0.05
O 0.450 0.901 0.750  0.14
O 0.550 0.099 0.250  0.14

Space group ... Cmcm, No. 63
E ... -5.87 eV per atom
Crystal system ... orthorhombic

=====

(5)
A plane-wave DFT calculation with PBE was carried out for an optimized crystal structure of Ba2CaPdO.

a = 5.567 Å, b = 5.567 Å, c = 4.616 Å
α = 90.00°, β = 90.00°, γ = 90.00°
Fractional positions:
O 0.000 0.000 0.000
Ca 0.000 0.000 0.500
Ba 0.000 0.500 0.000
Ba 0.500 0.000 0.000
Pd 0.500 0.500 0.500

Space group ... P4/mmm, No. 123
E ... -4.38 eV per atom
Crystal system ... tetragonal

=====

(6)
A plane-wave DFT calculation with PBE was carried out for an optimized crystal structure of BaCaPrSbO6.

a = 5.943 Å, b = 5.943 Å, c = 5.943 Å
α = 60.00°, β = 60.00°, γ = 60.00°
Fractional positions:
Ba 0.250 0.250 0.250
Ca 0.000 0.000 0.000
Pr 0.750 0.750 0.750
Sb 0.500 0.500 0.500
O 0.264 0.736 0.264
O 0.736 0.264 0.736
O 0.264 0.736 0.736
O 0.736 0.264 0.264
O 0.264 0.264 0.736
O 0.736 0.736 0.264

Space group ... F-43m, No. 216
E ... -6.72 eV per atom
Crystal system ... cubic

=====

(7)
A plane-wave DFT calculation with PBE was carried out for an optimized crystal structure of Ba3CaPt2O6.

a = 6.077 Å, b = 6.077 Å, c = 6.936 Å
α = 90.00°, β = 90.00°, γ = 120.00°
Each line ends with the local moment (μB).
Fractional positions:
Ba 0.333 0.667 0.648  0.00
Ba 0.667 0.333 0.352  0.00
Ba 0.000 0.000 0.000  0.00
Ca 0.000 0.000 0.500  0.02
Pt 0.667 0.333 0.853  0.33
Pt 0.333 0.667 0.147  0.33
O 0.659 0.830 0.302  0.11
O 0.170 0.341 0.302  0.11
O 0.170 0.830 0.302  0.11
O 0.830 0.659 0.698  0.11
O 0.341 0.170 0.698  0.11
O 0.830 0.170 0.698  0.11

Space group ... P-3m1, No. 164
E ... -5.69 eV per atom
Crystal system ... trigonal

=====

(8)
A plane-wave DFT calculation with PBE was carried out for an optimized crystal structure of BaCaPtO3.

a = 3.993 Å, b = 6.988 Å, c = 7.490 Å
α = 105.29°, β = 90.00°, γ = 106.60°
Fractional positions:
Ba 0.355 0.711 0.923
Ba 0.645 0.289 0.077
Ca 0.649 0.299 0.570
Ca 0.351 0.701 0.430
Pt 0.003 0.005 0.264
Pt 0.997 0.995 0.736
O 0.842 0.685 0.191
O 0.835 0.669 0.647
O 0.500 0.000 0.308
O 0.165 0.331 0.353
O 0.500 0.000 0.692
O 0.158 0.315 0.809

Space group ... C2/m, No. 12
E ... -6.12 eV per atom
Crystal system ... monoclinic

=====

(9)
A plane-wave DFT calculation with PBE was carried out for an optimized crystal structure of BaCa2PtO.

a = 4.624 Å, b = 4.624 Å, c = 5.654 Å
α = 90.00°, β = 90.00°, γ = 90.00°
Fractional positions:
O 0.000 0.000 0.000
Ca 0.000 0.500 0.000
Ca 0.500 0.000 0.000
Ba 0.000 0.000 0.500
Pt 0.500 0.500 0.500

Space group ... P4/mmm, No. 123
E ... -4.78 eV per atom
Crystal system ... tetragonal

=====

(10)
A plane-wave DFT calculation with PBE was carried out for an optimized crystal structure of BaCa2PtO5.

a = 3.978 Å, b = 5.859 Å, c = 6.660 Å
α = 116.09°, β = 107.38°, γ = 90.00°
Each line ends with the local moment (μB).
Fractional positions:
Ba 0.000 0.500 0.000  0.00
Ca 0.213 0.213 0.425  0.00
Ca 0.787 0.787 0.575  0.00
Pt 0.500 0.000 0.000  0.12
O 0.637 0.902 0.273  0.00
O 0.363 0.098 0.727  0.00
O 0.363 0.628 0.727  0.00
O 0.637 0.372 0.273  0.00
O 0.000 0.000 0.000  0.02

Space group ... Immm, No. 71
E ... -6.18 eV per atom
Crystal system ... orthorhombic

=====

(11)
A plane-wave DFT calculation with PBE was carried out for an optimized crystal structure of Ba3Ca2PuO8.

a = 6.183 Å, b = 6.183 Å, c = 7.979 Å
α = 90.00°, β = 90.00°, γ = 120.00°
Each line ends with the local moment (μB).
Fractional positions:
Ba 0.333 0.667 0.632  0.01
Ba 0.667 0.333 0.368  0.01
Ba 0.000 0.000 0.000  0.00
Ca 0.333 0.667 0.192  -0.01
Ca 0.667 0.333 0.808  -0.01
Pu 0.000 0.000 0.500  2.43
O 0.333 0.667 0.930  -0.01
O 0.667 0.333 0.070  -0.01
O 0.155 0.845 0.344  -0.07
O 0.845 0.155 0.656  -0.07
O 0.155 0.310 0.344  -0.07
O 0.845 0.690 0.656  -0.07
O 0.690 0.845 0.344  -0.07
O 0.310 0.155 0.656  -0.07

Space group ... P-3m1, No. 164
E ... -7.17 eV per atom
Crystal system ... trigonal

=====

(12)
A plane-wave DFT calculation with PBE was carried out for an optimized crystal structure of Ba2CaPuO5.

a = 3.662 Å, b = 7.989 Å, c = 11.258 Å
α = 90.00°, β = 90.00°, γ = 103.25°
Each line ends with the local moment (μB).
Fractional positions:
Ba 0.875 0.749 0.784  0.01
Ba 0.117 0.234 0.716  0.01
Ba 0.125 0.251 0.284  0.01
Ba 0.883 0.766 0.216  0.01
Ca 0.516 0.033 0.982  0.00
Ca 0.484 0.967 0.482  0.00
Pu 0.776 0.551 0.507  4.23
Pu 0.224 0.449 0.007  4.23
O 0.366 0.732 0.007  -0.06
O 0.712 0.424 0.882  -0.09
O 0.501 0.002 0.781  0.00
O 0.276 0.552 0.632  -0.09
O 0.915 0.829 0.531  -0.05
O 0.634 0.268 0.507  -0.06
O 0.288 0.576 0.382  -0.09
O 0.499 0.998 0.281  0.00
O 0.724 0.448 0.132  -0.09
O 0.085 0.171 0.031  -0.05

Space group ... Cmc2_1, No. 36
E ... -7.76 eV per atom
Crystal system ... orthorhombic